Density functional theory data (PBE+U) for a relaxed LaFePO2 crystal.

abc: 4.0935 4.0935 4.5990
angles: 90.00 90.00 90.00
Space group P4/mmm (No. 123)
Asymmetric unit:
La 0.0000 0.0000 0.0000
Fe 0.5000 0.5000 0.5000
P 0.5000 0.5000 0.0000
O 0.0000 0.5000 0.5000

ρ = 5553 kg/m3
Total magnetic moment = 3.8 μB/f.u.
Energy above the most stable polymorph in this dataset = 0.00 eV per formula unit
Calculated volume = 15.41 Å³ per atom